Model a:
BaZnTe2N: optimized geometry, GGA-PBE.

Properties
- total moment (Bohr magnetons per cell) = 5.04
- SG = P4/mmm, No. 123

```
BaZnTe2N
1.0
-4.0060 -4.3968 3.4392
5.5789 -3.0093 2.6511
-0.1470 3.3536 4.1161
Zn Ba Te N
1 1 2 1
Cartesian
0.7129 -2.0263 5.1032 Zn
0.0000 0.0000 0.0000 Ba
-2.0030 -2.1984 1.7196 Te
2.7894 -1.5046 1.3255 Te
-0.0735 1.6768 2.0581 N
```

***

Model b:
BaZnTe2N: optimized geometry, GGA-PBE.

Properties
- total moment (Bohr magnetons per cell) = 2.19
- SG = P4/mmm, No. 123

```
BaZnTe2N
1.0
6.1000 0.0000 0.0000
0.0000 6.1000 0.0000
0.0000 0.0000 3.7875
N Te Ba Zn
1 2 1 1
Cartesian
0.0000 0.0000 1.8938 N
3.0500 0.0000 0.0000 Te
0.0000 3.0500 0.0000 Te
3.0500 3.0500 1.8938 Ba
0.0000 0.0000 0.0000 Zn
```

***

Most stable: model b. Least stable: model a.

***

Model a:
BaZrTeN2: optimized geometry, GGA-PBE.

Properties
- total moment (Bohr magnetons per cell) = 1.95
- SG = P4/mmm, No. 123

```
BaZrTeN2
1.0
-1.0674 3.4837 2.6816
-4.0189 0.3454 -2.0483
-2.2873 -3.6779 3.8675
N Zr Te Ba
2 1 1 1
Cartesian
-0.5337 1.7418 1.3408 N
-2.0094 0.1727 -1.0242 N
0.0000 0.0000 0.0000 Zr
-1.1437 -1.8389 1.9338 Te
-3.6868 0.0756 2.2504 Ba
```

***

Model b:
BaZrTeN2: optimized geometry, GGA-PBE.

Properties
- total moment (Bohr magnetons per cell) = 0.51
- SG = P4/mmm, No. 123

```
BaZrTeN2
1.0
-1.0377 -3.4943 2.5256
3.3189 1.0107 2.7621
-4.0106 3.6965 3.4664
N Zr Te Ba
2 1 1 1
Cartesian
1.6594 0.5054 1.3810 N
-0.5189 -1.7471 1.2628 N
-0.8647 0.6065 4.3770 Zr
-2.0053 1.8483 1.7332 Te
0.0000 0.0000 0.0000 Ba
```

***

Most stable: model a. Least stable: model b.

***

Model a:
BaTi3N: optimized geometry, GGA-PBE.

Properties
- total moment (Bohr magnetons per cell) = 0.00
- SG = Pm-3m, No. 221

```
BaTi3N
1.0
-2.3556 -0.6421 3.6681
3.7235 -0.3413 2.3314
-0.0556 4.3459 0.7251
Ti N Ba
3 1 1
Cartesian
-0.0278 2.1730 0.3625 Ti
1.8617 -0.1707 1.1657 Ti
-1.1778 -0.3211 1.8340 Ti
0.0000 0.0000 0.0000 N
0.6561 1.6813 3.3623 Ba
```

***

Model b:
BaTi3N: optimized geometry, GGA-PBE.

Properties
- total moment (Bohr magnetons per cell) = 1.42
- SG = Pm-3m, No. 221

```
BaTi3N
1.0
4.9390 0.0000 0.0000
0.0000 4.9390 0.0000
0.0000 0.0000 4.9390
Ba Ti N
1 3 1
Cartesian
0.0000 0.0000 0.0000 Ba
0.0000 0.0000 2.4695 Ti
0.0000 2.4695 0.0000 Ti
2.4695 0.0000 0.0000 Ti
2.4695 2.4695 2.4695 N
```

***

Most stable: model a. Least stable: model b.

***

Model a:
Ba2TlZnN: optimized geometry, GGA-PBE.

Properties
- total moment (Bohr magnetons per cell) = 0.00
- SG = P2_1/m, No. 11

```
Ba2TlZnN
1.0
-2.1968 3.4626 0.7151
1.0375 -1.0188 8.1208
6.9941 5.3283 -4.3150
Zn Tl Ba N
2 2 4 2
Cartesian
0.6360 3.5561 2.9073 Zn
5.1989 4.2161 1.6136 Zn
2.0407 1.6207 4.4792 Tl
3.7942 6.1515 0.0417 Tl
3.5310 5.0781 4.4308 Ba
-0.6613 1.8802 7.0370 Ba
6.4962 5.8919 -2.5161 Ba
2.3038 2.6940 0.0901 Ba
-0.2185 3.3778 1.1453 N
6.0534 4.3943 3.3755 N
```

***

Model b:
Ba2TlZnN: optimized geometry, GGA-PBE.

Properties
- total moment (Bohr magnetons per cell) = 0.00
- SG = P4/mmm, No. 123

```
Ba2TlZnN
1.0
6.0285 0.0000 0.0000
0.0000 6.0285 0.0000
0.0000 0.0000 3.8977
Zn Ba N Tl
1 2 1 1
Cartesian
0.0000 0.0000 1.9489 Zn
3.0143 0.0000 0.0000 Ba
0.0000 3.0143 0.0000 Ba
0.0000 0.0000 0.0000 N
3.0143 3.0143 1.9489 Tl
```

***

Most stable: model a. Least stable: model b.

***

Model a:
BaTmN: optimized geometry, GGA-PBE.

Properties
- total moment (Bohr magnetons per cell) = 0.00
- SG = P2_1/m, No. 11

```
BaTmN
1.0
3.8601 0.0000 -0.4973
0.0000 4.7264 0.0000
-2.6625 0.0000 9.7095
Ba Tm N
2 2 2
Cartesian
1.3545 1.1816 2.8860 Ba
-0.1569 3.5448 6.3262 Ba
-1.7811 1.1816 8.9366 Tm
2.9787 3.5448 0.2756 Tm
-1.7663 3.5448 9.0491 N
2.9639 1.1816 0.1630 N
```

***

Model b:
BaTmN: optimized geometry, GGA-PBE.

Properties
- total moment (Bohr magnetons per cell) = 0.00
- SG = P3m1, No. 156

```
BaTmN
1.0
-5.8602 -1.3346 3.3629
0.9544 -3.5177 0.2671
0.9655 2.3593 2.6188
N Tm Ba
1 1 1
Cartesian
-0.6193 0.0402 2.7423 N
-0.8833 -0.2012 0.5069 Tm
-2.4376 -2.3321 2.9997 Ba
```

***

Most stable: model a. Least stable: model b.

***

Model a:
BaW3N: optimized geometry, GGA-PBE.

Properties
- total moment (Bohr magnetons per cell) = 0.00
- SG = Pm-3m, No. 221

```
BaW3N
1.0
4.4051 0.0000 0.0000
0.0000 4.4051 0.0000
0.0000 0.0000 4.4051
W N Ba
3 1 1
Cartesian
0.0000 2.2025 0.0000 W
0.0000 0.0000 2.2025 W
2.2025 0.0000 0.0000 W
0.0000 0.0000 0.0000 N
2.2025 2.2025 2.2025 Ba
```

***

Model b:
BaW3N: optimized geometry, GGA-PBE.

Properties
- total moment (Bohr magnetons per cell) = 0.70
- SG = Pm-3m, No. 221

```
BaW3N
1.0
-4.2085 2.0096 1.8976
-1.7271 -4.6108 1.0525
2.1578 0.2288 4.5433
W Ba N
3 1 1
Cartesian
-0.8636 -2.3054 0.5263 W
-2.1042 1.0048 0.9488 W
1.0789 0.1144 2.2717 W
0.0000 0.0000 0.0000 Ba
-1.8889 -1.1862 3.7467 N
```

***

Most stable: model a. Least stable: model b.

***

Model a:
Ba2WN3: optimized geometry, GGA-PBE.

Properties
- total moment (Bohr magnetons per cell) = 0.00
- SG = Cmce, No. 64

```
Ba2WN3
1.0
-1.0123 -3.4453 4.9273
4.1449 -5.1688 1.0095
8.1767 7.9721 7.2597
Ba N W
8 12 4
Cartesian
3.9547 -0.9029 5.8420 Ba
5.7447 -3.6855 8.0357 Ba
2.5186 -1.0736 1.6530 Ba
8.7907 0.4316 11.5435 Ba
3.5613 -4.5852 3.1845 Ba
7.7479 3.9432 10.0120 Ba
5.5645 3.0435 5.1608 Ba
7.3545 0.2608 7.3545 Ba
8.3166 6.0166 7.8058 N
5.7040 4.1989 7.8841 N
6.6508 -1.8621 5.7240 N
5.1976 2.4764 10.3478 N
4.3657 1.0754 3.5356 N
9.6070 2.1095 9.1103 N
2.9926 -6.6586 5.3907 N
4.6585 1.2201 7.4725 N
6.9435 -1.7174 9.6609 N
6.1116 -3.1185 2.8487 N
1.7023 -2.7516 4.0861 N
5.6053 -4.8409 5.3124 N
10.6322 0.7407 8.3646 W
8.6784 -2.3937 9.5437 W
2.6309 1.7517 3.6528 W
0.6770 -1.3827 4.8319 W
```

***

Model b:
Ba2WN3: optimized geometry, GGA-PBE.

Properties
- total moment (Bohr magnetons per cell) = 0.00
- SG = Cmcm, No. 63

```
Ba2WN3
1.0
-0.9949 5.2937 -1.7049
-6.2436 -1.2452 -0.2176
-2.6596 1.3141 5.6373
W Ba N
2 4 6
Cartesian
-6.6731 2.9512 -0.9790 W
-3.2250 2.4114 4.6938 W
-6.7400 0.9674 2.2651 Ba
-3.1581 4.3953 1.4497 Ba
-6.1133 4.4170 3.2492 Ba
-3.7848 0.9456 0.4656 Ba
-1.1777 0.0090 0.7164 N
-8.2234 2.7065 3.8502 N
-5.7695 3.5965 0.4972 N
-1.6747 2.6561 -0.1354 N
-4.1286 1.7661 3.2176 N
-8.7205 5.3537 2.9984 N
```

***

Most stable: model a. Least stable: model b.

***

Model a:
BaYZnN2: optimized geometry, GGA-PBE.

Properties
- total moment (Bohr magnetons per cell) = 0.00
- SG = P4/mmm, No. 123

```
BaYZnN2
1.0
4.4429 0.0000 0.0000
0.0000 4.8876 0.0000
0.0000 0.0000 4.4429
N Ba Zn Y
2 1 1 1
Cartesian
2.2215 0.0000 0.0000 N
0.0000 0.0000 2.2215 N
2.2215 2.4438 2.2215 Ba
0.0000 0.0000 0.0000 Zn
0.0000 2.4438 0.0000 Y
```

***

Model b:
BaYZnN2: optimized geometry, GGA-PBE.

Properties
- total moment (Bohr magnetons per cell) = 0.00
- SG = P2/c, No. 13

```
BaYZnN2
1.0
-3.8293 3.9011 -0.0363
-2.6253 -2.6214 -4.7748
-3.7284 -3.6199 4.2801
N Y Zn Ba
4 2 2 2
Cartesian
-5.2633 -2.9892 3.3864 N
-5.0997 -2.8766 -1.7614 N
-4.9196 0.6490 -3.9174 N
-5.0832 0.5364 1.2304 N
-4.7769 -0.6971 3.1913 Y
-2.7807 0.9783 1.0525 Y
-1.8642 -1.8099 2.1401 Zn
0.0000 0.0000 0.0000 Zn
-5.7032 1.3077 -1.3502 Ba
-4.4797 -3.6479 0.8192 Ba
```

***

Most stable: model b. Least stable: model a.

***

Model a:
BaZn3N: optimized geometry, GGA-PBE.

Properties
- total moment (Bohr magnetons per cell) = 1.83
- SG = Pm-3m, No. 221

```
BaZn3N
1.0
6.7857 0.0000 0.0000
0.0000 6.7857 0.0000
0.0000 0.0000 6.7857
Ba Zn N
1 3 1
Cartesian
0.0000 0.0000 0.0000 Ba
0.0000 0.0000 3.3928 Zn
3.3928 0.0000 0.0000 Zn
0.0000 3.3928 0.0000 Zn
3.3928 3.3928 3.3928 N
```

***

Model b:
BaZn3N: optimized geometry, GGA-PBE.

Properties
- total moment (Bohr magnetons per cell) = 0.00
- SG = Pm-3m, No. 221

```
BaZn3N
1.0
-0.6409 -3.2339 -3.3339
3.5975 1.7831 -2.4212
2.9378 -2.8890 2.2375
N Zn Ba
1 3 1
Cartesian
0.0000 0.0000 0.0000 N
1.4689 -1.4445 1.1188 Zn
1.7987 0.8916 -1.2106 Zn
-0.3204 -1.6169 -1.6670 Zn
2.9472 -2.1699 -1.7588 Ba
```

***

Most stable: model b. Least stable: model a.

***

Model a:
Ba3Na: optimized geometry, GGA-PBE.

Properties
- total moment (Bohr magnetons per cell) = 0.00
- SG = I4/mmm, No. 139

```
Ba3Na
1.0
7.8043 -0.0778 0.0000
3.2360 7.1022 0.0000
-5.5202 -3.5122 4.2550
Ba Na
3 1
Cartesian
3.9022 -0.0389 2.1275 Ba
5.5202 3.5122 0.0000 Ba
1.6180 3.5511 2.1275 Ba
0.0000 0.0000 0.0000 Na
```

***

Model b:
Ba3Na: optimized geometry, GGA-PBE.

Properties
- total moment (Bohr magnetons per cell) = 0.00
- SG = Imm2, No. 44

```
Ba3Na
1.0
4.7444 0.0000 0.0000
0.0000 7.0326 0.0000
-2.3722 -3.5163 6.9716
Ba Na
3 1
Cartesian
0.0000 2.9158 3.8178 Ba
2.3722 -0.6005 3.1538 Ba
2.3722 2.9381 0.0000 Ba
0.0000 6.4676 0.0000 Na
```

***

Model c:
Ba3Na: optimized geometry, GGA-PBE.

Properties
- total moment (Bohr magnetons per cell) = 0.00
- SG = Fm-3m, No. 225

```
Ba3Na
1.0
6.9224 0.0000 0.0000
3.4612 5.9950 0.0000
3.4612 1.9983 5.6521
Ba Na
3 1
Cartesian
0.0000 0.0000 0.0000 Ba
3.4612 1.9983 1.4130 Ba
10.3836 5.9950 4.2391 Ba
6.9224 3.9966 2.8260 Na
```

***

Most stable: model b. Least stable: model c.

***

Model a:
Ba3Na2: optimized geometry, GGA-PBE.

Properties
- total moment (Bohr magnetons per cell) = 0.00
- SG = R-3c, No. 167

```
Ba3Na2
1.0
-10.0166 3.0618 -5.2558
-10.1237 -0.6163 5.8703
-6.1521 5.0823 1.6209
Ba Na
6 4
Cartesian
-9.6308 5.0531 -0.5363 Ba
-13.2969 3.9372 -2.9692 Ba
-16.3913 5.8485 -0.2531 Ba
-9.9010 1.6794 2.4886 Ba
-12.9954 3.5906 5.2047 Ba
-16.6616 2.4747 2.7718 Ba
-6.3616 3.4900 1.0925 Na
-19.9308 4.0379 1.1430 Na
-12.9367 5.3563 1.6462 Na
-13.3556 2.1715 0.5893 Na
```

***

Model b:
Ba3Na2: optimized geometry, GGA-PBE.

Properties
- total moment (Bohr magnetons per cell) = 0.00
- SG = Pbcn, No. 60

```
Ba3Na2
1.0
-9.6155 2.0154 -4.1894
-3.1638 -7.3746 3.7138
-2.9202 6.1079 9.6409
Na Ba
8 12
Cartesian
-10.4420 -2.3135 3.6375 Na
-6.6924 0.6696 10.0808 Na
-9.0071 0.0791 -0.9155 Na
-10.7958 0.2042 5.6609 Na
-4.9299 -4.7944 3.4070 Na
-5.2575 3.0622 5.5278 Na
-4.9037 0.5445 3.5044 Na
-10.7696 5.5431 5.7584 Na
-10.1181 -0.8805 9.4058 Ba
-3.4312 0.8843 8.0803 Ba
-5.5814 1.6292 -0.2405 Ba
-8.6919 2.8394 7.4811 Ba
-7.1296 -1.7860 6.1695 Ba
-10.4773 -3.8322 -0.7457 Ba
-14.4729 -0.8202 5.8156 Ba
-8.5699 2.5347 2.9958 Ba
-7.0076 -2.0907 1.6842 Ba
-12.2683 -0.1355 1.0850 Ba
-2.3020 -1.5269 0.2701 Ba
-1.2266 1.5689 3.3497 Ba
```

***

Most stable: model a. Least stable: model b.

***

Model a:
Ba2NaNb: optimized geometry, GGA-PBE.

Properties
- total moment (Bohr magnetons per cell) = 7.62
- SG = I-42d, No. 122

```
Ba2NaNb
1.0
-5.4047 7.5582 -1.5873
-6.2154 -5.4067 -4.5818
-7.6451 0.4431 0.1513
Nb Ba Na
2 4 2
Cartesian
0.0000 0.0000 0.0000 Nb
-9.4299 4.5385 -2.2602 Nb
-15.9866 2.1407 -5.3472 Ba
-10.0062 1.2132 -2.1371 Ba
-6.3974 -2.4273 -3.0024 Ba
-6.1402 4.2624 -1.5487 Ba
-9.8353 -1.9440 -3.7575 Na
-5.8100 1.0757 -3.0845 Na
```

***

Model b:
Ba2NaNb: optimized geometry, GGA-PBE.

Properties
- total moment (Bohr magnetons per cell) = 4.27
- SG = Fm-3m, No. 225

```
Ba2NaNb
1.0
0.0000 4.3495 4.3495
4.3495 0.0000 4.3495
4.3495 4.3495 0.0000
Ba Nb Na
2 1 1
Cartesian
6.5242 6.5242 6.5242 Ba
2.1747 2.1747 2.1747 Ba
4.3495 4.3495 4.3495 Nb
0.0000 0.0000 0.0000 Na
```

***

Most stable: model b. Least stable: model a.